1.
Here is TmTlCd6 after structural relaxation from Alexandria via LeMat-Bulk. Energies are from PBE-GGA.

abc: 4.835 7.746 10.198
angles: 90.00 90.00 90.00
Space group Amm2 (No. 38)
Inequivalent atoms, fractional coordinates:
Tm 0.000 0.000 0.000
Tl 0.500 0.000 0.227
Cd 0.000 0.000 0.430
Cd 0.000 0.198 0.712
Cd 0.500 0.000 0.803
Cd 0.500 0.209 0.510

=====

2.
Here is V5CrGe6 after structural relaxation from Alexandria via LeMat-Bulk. Energies are from PBE-GGA.

abc: 4.554 7.678 9.903
angles: 90.00 90.00 90.00
Space group Immm (No. 71)
Inequivalent atoms, fractional coordinates:
V 0.000 0.000 0.000
V 0.000 0.000 0.332
V 0.000 0.500 0.333
Cr 0.000 0.500 0.000
Ge 0.000 0.250 0.500
Ge 0.000 0.251 0.165

=====

3.
Here is Sm2ThZr after structural relaxation from Alexandria via LeMat-Bulk. Energies are from PBE-GGA.

abc: 4.088 4.088 7.197
angles: 90.00 90.00 90.00
Space group P4/mmm (No. 123)
Inequivalent atoms, fractional coordinates:
Sm 0.000 0.000 0.225
Th 0.500 0.500 0.500
Zr 0.500 0.500 0.000

Calculated values
Excess energy over the best structure of this formula in the dataset: 115 meV per atom

=====

Number 1: formation enthalpy at 0 K -0.0943 eV/atom. Number 2: formation enthalpy at 0 K -0.0461 eV/atom. Number 3: formation enthalpy at 0 K 0.2262 eV/atom.